1.
10
Lattice="0.0000 4.6672 4.6672 4.6672 0.0000 4.6672 4.6672 4.6672 0.0000" Properties=species:S:1:pos:R:3 comment="Rb2LaTaF6 (PBE, optimized geometry)" spacegroup="No. 225" formation_energy_uncorrected_ev_per_atom=-2.5303 dos_ef_per_ev_cell=3.06 pbc="T T T"
Rb 2.3336 2.3336 2.3336
Rb 7.0008 7.0008 7.0008
La 0.0000 0.0000 0.0000
Ta 4.6672 4.6672 4.6672
F 4.6672 4.6672 2.3804
F 4.6672 2.3804 4.6672
F 6.9540 4.6672 4.6672
F 2.3804 4.6672 4.6672
F 4.6672 6.9540 4.6672
F 4.6672 4.6672 6.9540

***

2.
8
Lattice="0.0000 4.0904 4.0904 4.0904 0.0000 4.0904 4.0904 4.0904 0.0000" Properties=species:S:1:pos:R:3 comment="TlSi7 (PBE, optimized geometry)" spacegroup="No. 225" formation_energy_uncorrected_ev_per_atom=0.7264 dos_ef_per_ev_cell=3.82 pbc="T T T"
Tl 0.0000 0.0000 0.0000
Si 2.0452 2.0452 0.0000
Si 2.0452 0.0000 2.0452
Si 4.0904 2.0452 2.0452
Si 0.0000 2.0452 2.0452
Si 2.0452 4.0904 2.0452
Si 2.0452 2.0452 4.0904
Si 4.0904 4.0904 4.0904

***

3.
4
Lattice="2.8627 0.0000 0.0000 0.0000 4.1708 0.0000 -0.0434 0.0000 5.6467" Properties=species:S:1:pos:R:3 comment="InTcW2 (PBE, optimized geometry)" spacegroup="No. 10" formation_energy_ev_per_atom=0.385 dos_ef_per_ev_cell=2.86 pbc="T T T"
In 0.0000 0.0000 0.0000
Tc -0.0217 0.0000 2.8234
W 1.3900 2.0854 4.0866
W 1.4293 2.0854 1.5601

***

4.
10
Lattice="-2.0824 2.0824 8.5556 2.0824 -2.0824 8.5556 2.0824 2.0824 -8.5556" Properties=species:S:1:pos:R:3 comment="Fe3HW (PBE, optimized geometry)" spacegroup="No. 119" dos_ef_per_ev_cell=9.62 e_tot_ev_per_cell=-69.3 pbc="T T T"
Fe 0.0000 0.0000 2.5726
Fe 1.0731 2.0824 -2.0909
Fe 1.0093 0.0000 6.4647
Fe 2.0824 1.0731 2.0909
Fe 0.0000 0.0000 14.5387
Fe 0.0000 1.0093 10.6465
H 0.0000 2.0824 2.2205
H 0.0000 2.0824 6.3351
W 2.0824 0.0000 4.2778
W 0.0000 0.0000 8.5556

***

5.
5
Lattice="6.0169 0.0000 0.0000 0.0000 6.0169 0.0000 0.0000 0.0000 5.4583" Properties=species:S:1:pos:R:3 comment="Ba2LaAlW (PBE, optimized geometry)" spacegroup="No. 123" formation_energy_ev_per_atom=0.840 dos_ef_per_ev_cell=7.06 pbc="T T T"
Ba 0.0000 3.0085 0.0000
Ba 3.0085 0.0000 0.0000
La 0.0000 0.0000 2.7291
Al 3.0085 3.0085 2.7291
W 0.0000 0.0000 0.0000

***

6.
3
Lattice="4.0126 0.0000 0.0000 -2.0063 3.4750 0.0000 0.0000 0.0000 4.8765" Properties=species:S:1:pos:R:3 comment="NaBPb (PBE, optimized geometry)" spacegroup="No. 187" formation_energy_ev_per_atom=0.602 dos_ef_per_ev_cell=0.39 pbc="T T T"
Na 0.0000 0.0000 0.0000
B 0.0000 2.3167 2.4382
Pb 2.0063 1.1583 2.4382

***

7.
12
Lattice="9.0853 0.0000 0.0000 0.0000 3.8942 0.0000 -1.7781 0.0000 9.3413" Properties=species:S:1:pos:R:3 comment="KNpHSe3 (PBE, optimized geometry)" spacegroup="No. 11" dos_ef_per_ev_cell=14.71 e_tot_ev_per_cell=-64.9 pbc="T T T"
K 1.0467 0.9736 2.4034
K 6.2605 2.9207 6.9379
Np 1.5160 2.9207 7.9357
Np 5.7913 0.9736 1.4057
H 1.2871 0.9736 5.3282
H 6.0202 2.9207 4.0131
Se -0.3912 0.9736 8.2756
Se 1.2533 2.9207 5.1870
Se 3.7423 2.9207 1.4223
Se 3.5650 0.9736 7.9191
Se 6.0540 0.9736 4.1543
Se 7.6984 2.9207 1.0658

***

8.
12
Lattice="3.8756 0.0000 0.0000 -1.9378 3.3564 0.0000 0.0000 0.0000 28.9623" Properties=species:S:1:pos:R:3 comment="ScCl2O (PBE, optimized geometry)" spacegroup="No. 166" formation_energy_uncorrected_ev_per_atom=-0.0584 dos_ef_per_ev_cell=15.89 pbc="T T T"
Sc 0.0000 0.0000 0.0000
Sc 0.0000 2.2376 19.3082
Sc 1.9378 1.1188 9.6541
Cl 0.0000 0.0000 2.2655
Cl 0.0000 0.0000 26.6968
Cl 0.0000 2.2376 17.0427
Cl 0.0000 2.2376 21.5737
Cl 1.9378 1.1188 7.3886
Cl 1.9378 1.1188 11.9195
O 0.0000 0.0000 14.4811
O 0.0000 2.2376 4.8271
O 1.9378 1.1188 24.1352

***

9.
12
Lattice="4.8325 0.0000 0.0000 0.0000 4.8439 0.0000 0.0000 0.0000 10.9616" Properties=species:S:1:pos:R:3 comment="NdNbRh (PBE, optimized geometry)" spacegroup="No. 65" formation_energy_ev_per_atom=-0.094 dos_ef_per_ev_cell=15.19 pbc="T T T"
Nd 0.0000 0.0000 1.8122
Nd 0.0000 0.0000 9.1495
Nd 2.4163 2.4220 1.8122
Nd 2.4163 2.4220 9.1495
Nb 0.0000 2.4220 4.1413
Nb 0.0000 2.4220 6.8203
Nb 2.4163 0.0000 4.1413
Nb 2.4163 0.0000 6.8203
Rh 0.0000 0.0000 5.4808
Rh 0.0000 2.4220 0.0000
Rh 2.4163 0.0000 0.0000
Rh 2.4163 2.4220 5.4808

***

10.
3
Lattice="4.8608 0.0000 0.0000 -2.4304 4.2096 0.0000 0.0000 0.0000 2.8022" Properties=species:S:1:pos:R:3 comment="KCoPt (PBE, optimized geometry)" spacegroup="No. 187" formation_energy_ev_per_atom=0.740 dos_ef_per_ev_cell=4.86 pbc="T T T"
K 0.0000 0.0000 0.0000
Co 0.0000 2.8064 1.4011
Pt 2.4304 1.4032 1.4011